Entry 1:
Mg2ScSb | GGA-PBEsol | optimized geometry

## Properties
E (eV per atom): -3.9126
E_form (uncorrected) (eV per atom): -0.26

Cell lengths 5.9737, 11.0635, 3.2356 Å; angles 90.00, 121.80, 90.00 degrees
Space group C2/m (No. 12)
One atom of each set of equivalent atoms:
1 Mg 0.2500 0.2500 0.0000
2 Sc 0.0000 0.0000 0.5000
3 Sb 0.0000 0.5000 0.5000


Entry 2:
SrAlTl3 | GGA-PBEsol | optimized geometry

## Properties
Calculated formation energy (eV/atom): 0.868
E (eV per atom): -1.8961

Cell lengths 6.0202, 6.0202, 6.0202 Å; angles 90.00, 90.00, 90.00 degrees
Space group Pm-3m (No. 221)
One atom of each set of equivalent atoms:
1 Sr 0.0000 0.0000 0.0000
2 Al 0.5000 0.5000 0.5000
3 Tl 0.0000 0.0000 0.5000


Table of magnetization (Bohr magnetons per cell), in record order: 0.0; 0.0